1.
{"formula": "Sm2DyTh2", "functional": "PBE", "state": "optimized geometry", "lattice_angstrom": [[-3.971, -7.994, 3.511], [-0.786, -3.514, -8.890], [3.306, -1.509, 0.304]], "species": ["Sm", "Sm", "Sm", "Sm", "Dy", "Dy", "Th", "Th", "Th", "Th"], "fractional_positions": [[0.128, 0.628, 0.000], [0.628, 0.872, 0.000], [0.872, 0.372, 0.000], [0.372, 0.128, 0.000], [0.000, 0.000, 0.000], [0.500, 0.500, 0.000], [0.329, 0.829, 0.500], [0.829, 0.671, 0.500], [0.671, 0.171, 0.500], [0.171, 0.329, 0.500]], "de_polymorph_mev_per_atom": 179, "m_tot_mub_per_fu": 0.0}

---

2.
{"formula": "SmDy4Th", "functional": "PBE", "state": "optimized geometry", "lattice_angstrom": [[6.557, 0.000, 0.000], [3.278, 5.679, 0.000], [3.278, 1.893, 5.354]], "species": ["Sm", "Th", "Dy", "Dy", "Dy", "Dy"], "fractional_positions": [[0.000, 0.000, 0.000], [0.250, 0.250, 0.250], [0.624, 0.624, 0.127], [0.624, 0.127, 0.624], [0.624, 0.624, 0.624], [0.127, 0.624, 0.624]], "de_polymorph_mev_per_atom": 307, "m_tot_mub_per_fu": 2.6}

---

3.
{"formula": "SmDy6Th3", "functional": "PBE", "state": "optimized geometry", "lattice_angstrom": [[-0.604, -1.867, -2.898], [12.872, -2.526, -1.056], [0.191, -12.000, 7.688]], "species": ["Sm", "Sm", "Dy", "Dy", "Dy", "Dy", "Dy", "Dy", "Dy", "Dy", "Dy", "Dy", "Dy", "Dy", "Th", "Th", "Th", "Th", "Th", "Th"], "fractional_positions": [[0.250, 0.315, 0.893], [0.750, 0.685, 0.107], [0.250, 0.372, 0.521], [0.750, 0.628, 0.479], [0.250, 0.939, 0.099], [0.750, 0.061, 0.901], [0.250, 0.878, 0.500], [0.750, 0.122, 0.500], [0.250, 0.776, 0.298], [0.750, 0.224, 0.702], [0.250, 0.575, 0.897], [0.750, 0.425, 0.103], [0.250, 0.254, 0.295], [0.750, 0.746, 0.705], [0.250, 0.994, 0.701], [0.750, 0.006, 0.299], [0.250, 0.518, 0.292], [0.750, 0.482, 0.708], [0.250, 0.826, 0.898], [0.750, 0.174, 0.102]], "m_tot_mub_per_fu": 0.0}

---

4.
{"formula": "Sm8Dy4Th", "functional": "PBE", "state": "optimized geometry", "lattice_angstrom": [[-10.318, 2.385, -4.994], [0.480, -6.936, 9.421], [6.320, 3.827, 2.496]], "species": ["Sm", "Sm", "Sm", "Sm", "Sm", "Sm", "Sm", "Sm", "Dy", "Dy", "Dy", "Dy", "Th"], "fractional_positions": [[0.519, 0.760, 0.279], [0.481, 0.240, 0.721], [0.339, 0.169, 0.007], [0.162, 0.331, 0.993], [0.661, 0.831, 0.993], [0.162, 0.831, 0.993], [0.838, 0.169, 0.007], [0.838, 0.669, 0.007], [0.000, 0.000, 0.000], [0.000, 0.500, 0.000], [0.500, 0.500, 0.000], [0.500, 0.000, 0.000], [0.000, 0.500, 0.500]], "m_tot_mub_per_fu": 0.0}

---

5.
{"formula": "Sm5Dy8Th", "functional": "PBE", "state": "optimized geometry", "lattice_angstrom": [[-4.597, -6.556, 2.779], [-0.659, 0.733, -8.418], [8.051, -1.419, 2.236]], "species": ["Sm", "Sm", "Sm", "Sm", "Sm", "Dy", "Dy", "Dy", "Dy", "Dy", "Dy", "Dy", "Dy", "Th"], "fractional_positions": [[0.031, 0.328, 0.131], [0.869, 0.899, 0.196], [0.804, 0.672, 0.703], [0.500, 0.000, 0.500], [0.297, 0.101, 0.969], [0.157, 0.735, 0.073], [0.927, 0.084, 0.663], [0.741, 0.258, 0.344], [0.656, 0.397, 0.915], [0.517, 0.603, 0.259], [0.578, 0.916, 0.843], [0.337, 0.265, 0.422], [0.085, 0.742, 0.483], [0.250, 0.500, 0.750]], "m_tot_mub_per_fu": 0.8}

---

6.
{"formula": "Sm3Dy12Th", "functional": "PBE", "state": "optimized geometry", "lattice_angstrom": [[5.037, 0.000, 0.000], [0.000, 5.037, 0.000], [0.000, 0.000, 20.127]], "species": ["Sm", "Sm", "Sm", "Dy", "Dy", "Dy", "Dy", "Dy", "Dy", "Dy", "Dy", "Dy", "Dy", "Dy", "Dy", "Th"], "fractional_positions": [[0.000, 0.000, 0.249], [0.000, 0.000, 0.500], [0.000, 0.000, 0.751], [0.500, 0.500, 0.000], [0.500, 0.500, 0.250], [0.500, 0.500, 0.500], [0.500, 0.500, 0.750], [0.500, 0.000, 0.123], [0.500, 0.000, 0.374], [0.500, 0.000, 0.626], [0.500, 0.000, 0.877], [0.000, 0.500, 0.123], [0.000, 0.500, 0.374], [0.000, 0.500, 0.626], [0.000, 0.500, 0.877], [0.000, 0.000, 0.000]], "m_tot_mub_per_fu": 0.0}

---

7.
{"formula": "Sm6Dy8Th", "functional": "PBE", "state": "optimized geometry", "lattice_angstrom": [[7.823, 0.123, 3.784], [2.424, 7.439, 3.784], [0.166, 0.123, 8.688]], "species": ["Sm", "Sm", "Sm", "Sm", "Sm", "Sm", "Dy", "Dy", "Dy", "Dy", "Dy", "Dy", "Dy", "Dy", "Th"], "fractional_positions": [[0.897, 0.463, 0.770], [0.230, 0.103, 0.537], [0.537, 0.230, 0.103], [0.463, 0.770, 0.897], [0.770, 0.897, 0.463], [0.103, 0.537, 0.230], [0.113, 0.718, 0.752], [0.248, 0.887, 0.282], [0.282, 0.248, 0.887], [0.577, 0.577, 0.577], [0.423, 0.423, 0.423], [0.718, 0.752, 0.113], [0.752, 0.113, 0.718], [0.887, 0.282, 0.248], [0.000, 0.000, 0.000]], "m_tot_mub_per_fu": 0.0}

---

8.
{"formula": "Sm2Dy3Th2", "functional": "PBE", "state": "optimized geometry", "lattice_angstrom": [[3.453, 0.000, 0.000], [0.000, 8.583, -0.854], [-1.727, -3.544, 8.056]], "species": ["Sm", "Sm", "Dy", "Dy", "Dy", "Th", "Th"], "fractional_positions": [[0.563, 0.909, 0.126], [0.437, 0.091, 0.874], [0.000, 0.500, 0.000], [0.216, 0.798, 0.432], [0.784, 0.202, 0.568], [0.846, 0.649, 0.693], [0.154, 0.351, 0.307]], "de_polymorph_mev_per_atom": 111, "m_tot_mub_per_fu": 0.0}

---

no.,E_form (eV/f.u.)
1,1.04
2,1.97
3,1.07
4,5.77
5,3.90
6,0.36
7,1.83
8,0.99